# 1
Here is a relaxed Tb4Pm5Sc4 crystal from Alexandria via LeMat-Bulk. Energies are from PBE.

Geometry as CIF:
```
data_Tb4Pm5Sc4
_cell_length_a 12.6362
_cell_length_b 12.6362
_cell_length_c 4.9501
_cell_angle_alpha 90.00
_cell_angle_beta 90.00
_cell_angle_gamma 90.00
_symmetry_space_group_name_H-M 'I 4/m'
_symmetry_Int_Tables_number 87
_symmetry_space_group_name_Hall '-I 4'
loop_
_atom_site_label
_atom_site_type_symbol
_atom_site_fract_x
_atom_site_fract_y
_atom_site_fract_z
Tb1 Tb 0.0779 0.6174 0.0000
Pm1 Pm 0.0000 0.0000 0.0000
Pm2 Pm 0.0432 0.8064 0.5000
Sc1 Sc 0.1558 0.2333 0.0000
```

total moment = 0.0 Bohr magnetons per cell
calculated formation energy = 0.047 eV/atom



# 2
Here is a relaxed MgMo3N crystal from Alexandria via LeMat-Bulk. Energies are from PBE.

Geometry as CIF:
```
data_MgMo3N
_cell_length_a 4.5541
_cell_length_b 4.5541
_cell_length_c 4.5541
_cell_angle_alpha 90.00
_cell_angle_beta 90.00
_cell_angle_gamma 90.00
_symmetry_space_group_name_H-M 'P m -3 m'
_symmetry_Int_Tables_number 221
_symmetry_space_group_name_Hall '-P 4 2 3'
loop_
_atom_site_label
_atom_site_type_symbol
_atom_site_fract_x
_atom_site_fract_y
_atom_site_fract_z
Mg1 Mg 0.0000 0.0000 0.0000
Mo1 Mo 0.0000 0.0000 0.5000
N1 N 0.5000 0.5000 0.5000
```

total moment = 2.3 Bohr magnetons per cell
raw formation energy = 3.295 eV per atom



# 3
Here is a relaxed La2TlCdH crystal from Alexandria via LeMat-Bulk. Energies are from PBE.

Geometry as CIF:
```
data_La2TlCdH
_cell_length_a 5.0456
_cell_length_b 5.0456
_cell_length_c 4.7497
_cell_angle_alpha 90.00
_cell_angle_beta 90.00
_cell_angle_gamma 90.00
_symmetry_space_group_name_H-M 'P 4/m m m'
_symmetry_Int_Tables_number 123
_symmetry_space_group_name_Hall '-P 4 2'
loop_
_atom_site_label
_atom_site_type_symbol
_atom_site_fract_x
_atom_site_fract_y
_atom_site_fract_z
La1 La 0.0000 0.5000 0.0000
Tl1 Tl 0.0000 0.0000 0.5000
Cd1 Cd 0.5000 0.5000 0.5000
H1 H 0.5000 0.5000 0.0000
```

total moment = 0.0 Bohr magnetons per cell
E_tot = -3.6675 eV/atom